Computed, not measured: a relaxed NaGdNiTe3 crystal at the PBE-GGA level of DFT.

Summary:
The total magnetization is 0.00 μB per atom. As for the calculated total energy: -4.2956 eV per atom. Its energy relative to the lowest polymorph listed for this composition is 0.23 eV per formula unit. The space group is Pnma. The calculation puts the volume at 641.3 Å³ per cell.

Unit cell a=12.226 b=4.256 c=12.326 alpha=90.00 beta=90.00 gamma=90.00
Fractional coordinates of all 24 atoms:
Te 0.800 0.000 0.804
Te 0.400 0.500 0.926
Te 0.556 0.500 0.624
Te 0.056 0.500 0.876
Te 0.900 0.500 0.574
Te 0.200 0.500 0.196
Te 0.100 0.000 0.426
Te 0.700 0.500 0.304
Te 0.444 0.000 0.376
Te 0.600 0.000 0.074
Te 0.944 0.000 0.124
Te 0.300 0.000 0.696
Na 0.289 0.500 0.491
Na 0.211 0.000 0.991
Na 0.711 0.000 0.509
Na 0.789 0.500 0.009
Ni 0.261 0.000 0.285
Ni 0.761 0.000 0.215
Ni 0.239 0.500 0.785
Ni 0.739 0.500 0.715
Gd 0.544 0.000 0.804
Gd 0.956 0.500 0.304
Gd 0.044 0.000 0.696
Gd 0.456 0.500 0.196

Computed, not measured: a relaxed Rb4Ag2BiP crystal at the PBE-GGA level of DFT.

Summary:
As for the calculated total energy: -2.6782 eV per atom. The space group is Amm2. The calculation puts the volume at 295.1 Å³ per cell.

Unit cell a=6.643 b=6.800 c=6.800 alpha=106.17 beta=90.00 gamma=90.00
Fractional coordinates of all 8 atoms:
Rb 0.500 0.186 0.540
Rb 0.500 0.540 0.186
Rb 0.000 0.497 0.826
Rb 0.000 0.826 0.497
P 0.500 0.744 0.744
Bi 0.000 0.243 0.243
Ag 0.274 0.981 0.981
Ag 0.726 0.981 0.981